No. 1
Density functional theory data (GGA-PBE) for a relaxed Ho3Zn3Pd2 crystal.

Results
DFT total energy	-4.105	eV/atom
space-group type	P-62m (189)
formation energy from the elements	-0.613	eV per atom

POSCAR file:
```
Ho3Zn3Pd2
1.0
3.742 0.000 0.000
0.000 6.232 -3.598
0.000 0.000 7.196
Zn Ho Pd
3 3 2
Direct
0.000 0.227 0.000
0.000 0.000 0.227
0.000 0.773 0.773
0.500 0.000 0.598
0.500 0.598 0.000
0.500 0.402 0.402
0.000 0.333 0.667
0.000 0.667 0.333
```



No. 2
Density functional theory data (GGA-PBE) for a relaxed Ho5Zn2Pd crystal.

Results
DFT total energy	-4.204	eV/atom
space-group type	I4/mcm (140)
formation energy from the elements	-0.376	eV per atom

POSCAR file:
```
Ho5Zn2Pd
1.0
-4.667 -3.645 -4.087
4.755 -5.361 -0.649
-2.933 1.183 8.629
Pd Ho Zn
2 10 4
Direct
0.250 0.250 0.500
0.750 0.750 0.500
0.018 0.518 0.695
0.322 0.822 0.305
0.000 0.000 0.000
0.822 0.982 0.305
0.500 0.500 0.000
0.482 0.322 0.305
0.178 0.018 0.695
0.678 0.178 0.695
0.982 0.482 0.305
0.518 0.678 0.695
0.378 0.878 0.000
0.122 0.378 0.000
0.622 0.122 0.000
0.878 0.622 0.000
```



No. 3
Density functional theory data (GGA-PBE) for a relaxed Ho2ZnPd2 crystal.

Results
DFT total energy	-4.949	eV/atom
space-group type	C2/c (15)
formation energy from the elements	-0.786	eV per atom

POSCAR file:
```
Ho2ZnPd2
1.0
5.639 0.206 0.234
2.732 4.937 0.234
1.549 0.952 7.615
Ho Zn Pd
4 2 4
Direct
0.205 0.496 0.649
0.795 0.504 0.351
0.496 0.205 0.149
0.504 0.795 0.851
0.819 0.181 0.750
0.181 0.819 0.250
0.262 0.000 0.499
0.738 0.000 0.501
0.000 0.262 0.999
0.000 0.738 0.001
```



No. 4
Density functional theory data (GGA-PBE) for a relaxed Ho8ZnPd2 crystal.

Results
DFT total energy	-4.772	eV/atom
space-group type	C2/m (12)
ΔE to the lowest computed polymorph	0	meV per atom
formation energy from the elements	-0.382	eV per atom

POSCAR file:
```
Ho8ZnPd2
1.0
5.071 0.000 0.000
0.000 6.767 0.178
-2.536 -2.693 8.350
Ho Pd Zn
8 2 1
Direct
0.968 0.220 0.935
0.200 0.323 0.400
0.800 0.677 0.600
0.671 0.981 0.342
0.033 0.780 0.065
0.329 0.019 0.658
0.407 0.537 0.814
0.593 0.463 0.186
0.184 0.722 0.367
0.816 0.278 0.633
0.500 0.000 0.000
```



No. 5
Density functional theory data (GGA-PBE) for a relaxed Ho5Zn2Pd12 crystal.

Results
DFT total energy	-5.312	eV/atom
space-group type	C2/m (12)
formation energy from the elements	-0.694	eV per atom

POSCAR file:
```
Ho5Zn2Pd12
1.0
7.208 0.000 0.000
-3.604 9.002 -0.825
0.000 -4.624 5.943
Pd Zn Ho
12 2 5
Direct
0.941 0.257 0.997
0.521 0.042 0.342
0.479 0.958 0.658
0.684 0.743 0.003
0.063 0.127 0.235
0.964 0.344 0.637
0.937 0.873 0.765
0.036 0.656 0.363
0.316 0.257 0.997
0.379 0.344 0.637
0.621 0.656 0.363
0.059 0.743 0.003
0.321 0.000 0.000
0.679 0.000 0.000
0.693 0.386 0.910
0.000 0.000 0.500
0.307 0.614 0.090
0.717 0.433 0.455
0.283 0.567 0.545
```



No. 6
Density functional theory data (GGA-PBE) for a relaxed HoZnPd2 crystal.

Results
DFT total energy	-4.737	eV/atom
space-group type	P4/mmm (123)
formation energy from the elements	-0.678	eV per atom

POSCAR file:
```
HoZnPd2
1.0
-3.209 -1.162 1.005
1.553 -4.206 0.095
1.157 0.524 4.301
Zn Ho Pd
1 1 2
Direct
0.500 0.500 0.500
0.500 0.000 0.000
0.000 0.000 0.500
0.000 0.500 0.000
```